No. 1
# CsLiCaHf2 PBE relaxed
data_CsLiCaHf2
_symmetry_space_group_name_H-M 'P 4/m m m'
_symmetry_Int_Tables_number 123
_symmetry_space_group_name_Hall '-P 4 2'
_cell_length_a 5.596
_cell_length_b 5.596
_cell_length_c 5.999
_cell_angle_alpha 90.00
_cell_angle_beta 90.00
_cell_angle_gamma 90.00
loop_
_atom_site_label
_atom_site_fract_x
_atom_site_fract_y
_atom_site_fract_z
Cs1 0.000 0.000 0.000
Li1 0.500 0.500 0.000
Ca1 0.500 0.500 0.500
Hf1 0.000 0.500 0.500
# * VASP energy: -3.34 eV per atom
# * density: 4.75 g cm⁻³
# * ΔH_f (0 K): 8.0 eV per formula unit

***

No. 2
# NaSmAu4 PBE relaxed
data_NaSmAu4
_symmetry_space_group_name_H-M 'C 1 2/m 1'
_symmetry_Int_Tables_number 12
_symmetry_space_group_name_Hall '-C 2y'
_cell_length_a 9.791
_cell_length_b 3.812
_cell_length_c 7.394
_cell_angle_alpha 90.00
_cell_angle_beta 111.48
_cell_angle_gamma 90.00
loop_
_atom_site_label
_atom_site_fract_x
_atom_site_fract_y
_atom_site_fract_z
Na1 0.000 0.000 0.000
Sm1 0.000 0.000 0.500
Au1 0.163 0.500 0.323
Au2 0.169 0.500 0.836
# * VASP energy: -3.69 eV per atom
# * density: 12.43 g cm⁻³
# * ΔH_f (0 K): -3.0 eV per formula unit

***

No. 3
# PmGdCoHg PBE relaxed
data_PmGdCoHg
_symmetry_space_group_name_H-M 'F -4 3 m'
_symmetry_Int_Tables_number 216
_symmetry_space_group_name_Hall 'F -4 2 3'
_cell_length_a 7.253
_cell_length_b 7.253
_cell_length_c 7.253
_cell_angle_alpha 90.00
_cell_angle_beta 90.00
_cell_angle_gamma 90.00
loop_
_atom_site_label
_atom_site_fract_x
_atom_site_fract_y
_atom_site_fract_z
Pm1 0.000 0.000 0.000
Gd1 0.000 0.000 0.500
Co1 0.250 0.250 0.250
Hg1 0.250 0.250 0.750
# * VASP energy: -6.74 eV per atom
# * density: 9.78 g cm⁻³
# * ΔH_f (0 K): -0.7 eV per formula unit

***

No. 4
# CsFeBi3 PBE relaxed
data_CsFeBi3
_symmetry_space_group_name_H-M 'P m -3 m'
_symmetry_Int_Tables_number 221
_symmetry_space_group_name_Hall '-P 4 2 3'
_cell_length_a 6.276
_cell_length_b 6.276
_cell_length_c 6.276
_cell_angle_alpha 90.00
_cell_angle_beta 90.00
_cell_angle_gamma 90.00
loop_
_atom_site_label
_atom_site_fract_x
_atom_site_fract_y
_atom_site_fract_z
Cs1 0.000 0.000 0.000
Fe1 0.500 0.500 0.500
Bi1 0.000 0.000 0.500
# * VASP energy: -2.22 eV per atom
# * density: 5.48 g cm⁻³
# * ΔH_f (0 K): 9.9 eV per formula unit

***

| no. | total magnetization (μB per formula unit) |
| --- | --- |
| 1 | 0.000 |
| 2 | 0.000 |
| 3 | 6.575 |
| 4 | 4.238 |